[1]
## Li5Cu2S4 (GGA-PBE)

Data for Li5Cu2S4 after structural relaxation.

## Properties
Magnetic moment ... 0.0 μB per cell
Formation energy from raw total energies ... -85.4 kJ per mole of atoms
ρ ... 2.59 g cm⁻³

Cell: 7.743 7.743 7.147 Å, 110.83 110.83 27.76°
Sites, in units of the cell vectors:
Li 0.000 0.000 0.000
Li 0.320 0.320 0.093
Li 0.332 0.332 0.522
Li 0.668 0.668 0.478
Li 0.680 0.680 0.907
Cu 0.068 0.068 0.682
Cu 0.932 0.932 0.318
S 0.225 0.225 0.729
S 0.499 0.499 0.248
S 0.501 0.501 0.752
S 0.775 0.775 0.271

=====

[2]
## LiYGa4Au2 (GGA-PBE)

Data for LiYGa4Au2 after structural relaxation.

## Properties
Energy of formation ... -0.441 eV per atom
Magnetic moment ... 0.0 μB per cell
ρ ... 8.77 g cm⁻³

Cell: 8.974 8.974 8.974 Å, 28.52 28.52 28.52°
Sites, in units of the cell vectors:
Li 0.000 0.000 0.000
Y 0.500 0.500 0.500
Ga 0.108 0.108 0.108
Ga 0.374 0.374 0.374
Ga 0.626 0.626 0.626
Ga 0.892 0.892 0.892
Au 0.265 0.265 0.265
Au 0.735 0.735 0.735

=====

[3]
## LiAlInAg (GGA-PBE)

Data for LiAlInAg after structural relaxation.

## Properties
Energy of formation ... -0.129 eV per atom
Magnetic moment ... 0.0 μB per cell
Distance to the lowest polymorph of the same formula ... 0.0 meV/atom
ρ ... 5.85 g cm⁻³

Cell: 4.878 4.878 4.878 Å, 126.32 126.32 79.36°
Sites, in units of the cell vectors:
Li 0.000 0.000 0.000
Al 0.500 0.500 0.000
In 0.250 0.750 0.500
Ag 0.750 0.250 0.500

=====

Which of these has the lowest ρ?
Li5Cu2S4